Record 1
# ReHgP

A relaxed ReHgP crystal (PBE, Alexandria).

Results
N(E_F)   0.6757 states/eV/atom
Crystal system   trigonal
Energy of formation from the pure elements   0.19 eV per atom
Symmetry   P3m1

Lattice parameters (Å, degrees): 3.019 3.019 6.836 90.00 90.00 120.00
Sites, in units of the cell vectors:
1 Re 0.333 0.667 0.624
2 Hg 0.000 0.000 0.985
3 P 0.667 0.333 0.392

Record 2
# Re2HgP

A relaxed Re2HgP crystal (PBE, Alexandria).

Results
N(E_F)   0.7421 states/eV/atom
Crystal system   monoclinic
Energy of formation from the pure elements   0.47 eV per atom
Symmetry   C2/m

Lattice parameters (Å, degrees): 4.047 4.047 6.105 78.89 78.89 43.01
Sites, in units of the cell vectors:
1 Re 0.239 0.239 0.819
2 Re 0.761 0.761 0.181
3 Hg 0.000 0.000 0.500
4 P 0.500 0.500 0.000